# LiZr2Hg | the Alexandria database | GGA-PBEsol | relaxed
data_LiZr2Hg
_space_group_name_H-M_alt 'P 1'
_space_group_IT_number 1
_cell_length_a 2.917
_cell_length_b 5.022
_cell_length_c 5.515
_cell_angle_alpha 90.00
_cell_angle_beta 103.56
_cell_angle_gamma 90.00
loop_
_space_group_symop_operation_xyz
'x,y,z'
loop_
_atom_site_label
_atom_site_type_symbol
_atom_site_fract_x
_atom_site_fract_y
_atom_site_fract_z
Hg1 Hg 0.500 0.500 0.000
Li1 Li 0.000 0.500 0.500
Zr1 Zr 0.797 0.000 0.742
Zr2 Zr 0.203 0.000 0.258
# total magnetization	0.00	μB per cell
# E_tot	-20.744	eV/cell
# DFT formation energy	-0.01	eV per atom